First-principles (PBE) data for DyMgNiRh after structural relaxation, as listed in the Alexandria database.

Properties
Space group: No. 216
Energy of formation, meV/atom: -485.9

abc: 4.619 4.619 4.619
angles: 60.00 60.00 60.00
Fractional positions:
Ni 0.000 0.000 0.000
Dy 0.750 0.750 0.750
Mg 0.250 0.250 0.250
Rh 0.500 0.500 0.500